DFT (PBE with a Hubbard U) results for CuMo2O7 after structural relaxation.

Output
Calculated density in g cm⁻³: 3.7
E_tot in eV/atom: -6.591

a b c (Å): 7.940 10.717 11.510
angles (deg): 91.84 90.00 90.00
Each line ends with the local moment (μB).
Element x y z (fractional)
1 Cu 0.061 0.573 0.136  0.59
2 Cu 0.939 0.427 0.864  0.59
3 Cu 0.541 0.750 0.500  0.61
4 Cu 0.061 0.927 0.864  0.59
5 Cu 0.459 0.250 0.500  0.61
6 Cu 0.939 0.073 0.136  0.59
7 Mo 0.705 0.705 0.847  0.04
8 Mo 0.250 0.638 0.828  0.06
9 Mo 0.750 0.138 0.828  0.06
10 Mo 0.295 0.205 0.847  0.04
11 Mo 0.801 0.028 0.515  0.04
12 Mo 0.250 0.862 0.172  0.06
13 Mo 0.199 0.528 0.515  0.04
14 Mo 0.750 0.362 0.172  0.06
15 Mo 0.801 0.472 0.485  0.04
16 Mo 0.199 0.972 0.485  0.04
17 Mo 0.295 0.295 0.153  0.04
18 Mo 0.705 0.795 0.153  0.04
19 O 0.216 0.050 0.817  0.07
20 O 0.237 0.699 0.139  0.06
21 O 0.379 0.250 0.000  0.01
22 O 0.037 0.943 0.591  0.02
23 O 0.549 0.414 0.134  0.01
24 O 0.108 0.300 0.853  0.06
25 O 0.801 0.100 0.673  0.01
26 O 0.963 0.443 0.591  0.02
27 O 0.282 0.125 0.503  0.05
28 O 0.549 0.086 0.866  0.01
29 O 0.282 0.375 0.497  0.05
30 O 0.633 0.126 0.471  0.07
31 O 0.101 0.946 0.085  0.06
32 O 0.892 0.800 0.853  0.06
33 O 0.199 0.900 0.327  0.01
34 O 0.801 0.400 0.327  0.01
35 O 0.108 0.200 0.147  0.06
36 O 0.451 0.586 0.866  0.01
37 O 0.784 0.550 0.817  0.07
38 O 0.367 0.874 0.529  0.07
39 O 0.594 0.741 0.272  0.01
40 O 0.718 0.875 0.497  0.05
41 O 0.899 0.446 0.085  0.06
42 O 0.718 0.625 0.503  0.05
43 O 0.037 0.557 0.409  0.02
44 O 0.367 0.626 0.471  0.07
45 O 0.963 0.057 0.409  0.02
46 O 0.406 0.241 0.272  0.01
47 O 0.406 0.259 0.728  0.01
48 O 0.899 0.054 0.915  0.06
49 O 0.892 0.700 0.147  0.06
50 O 0.216 0.450 0.183  0.07
51 O 0.621 0.750 0.000  0.01
52 O 0.763 0.199 0.139  0.06
53 O 0.451 0.914 0.134  0.01
54 O 0.101 0.554 0.915  0.06
55 O 0.784 0.950 0.183  0.07
56 O 0.237 0.801 0.861  0.06
57 O 0.633 0.374 0.529  0.07
58 O 0.199 0.600 0.673  0.01
59 O 0.763 0.301 0.861  0.06
60 O 0.594 0.759 0.728  0.01